1.
Entry from the Alexandria database: a geometry-optimized Ba2ThCrS6 structure (PBE).

Summary:
ΔE_f (raw)	-1.54	eV/atom
density of states at the Fermi level	1.078	states/eV/atom
space-group type	P2_1/c (14)

Lattice parameters (Å, degrees): 7.1297 7.1350 10.0704 90.00 90.59 90.00
Closest atoms and distances in Å follow each position.
Sites, in units of the cell vectors:
Ba  0.0087  0.9652  0.2477  8 S 3.25-3.57
Ba  0.5087  0.5348  0.7477  8 S 3.25-3.57
Ba  0.9913  0.0348  0.7523  8 S 3.25-3.57
Ba  0.4913  0.4652  0.2523  8 S 3.25-3.57
Th  0.5000  0.0000  0.0000  6 S 2.72
Th  0.0000  0.5000  0.5000  6 S 2.72
Cr  0.5000  0.0000  0.5000  6 S 2.38-2.39
Cr  0.0000  0.5000  0.0000  6 S 2.38-2.39
S  0.2598  0.7060  0.0285  1 Cr 2.38
S  0.7598  0.7940  0.5285  1 Cr 2.38
S  0.7402  0.2940  0.9715  1 Cr 2.38
S  0.2402  0.2060  0.4715  1 Cr 2.38
S  0.2954  0.7376  0.4709  1 Cr 2.39
S  0.7954  0.7624  0.9709  1 Cr 2.39
S  0.7046  0.2624  0.5291  1 Cr 2.39
S  0.2046  0.2376  0.0291  1 Cr 2.39
S  0.9451  0.5031  0.2326  1 Cr 2.38
S  0.4451  0.9969  0.7326  1 Cr 2.38
S  0.0549  0.4969  0.7674  1 Cr 2.38
S  0.5549  0.0031  0.2674  1 Cr 2.38


2.
Entry from the Alexandria database: a geometry-optimized BaUCr2S8 structure (PBE).

Summary:
ΔE_f (raw)	-0.86	eV/atom
density of states at the Fermi level	0.610	states/eV/atom
space-group type	R-3 (148)

Lattice parameters (Å, degrees): 6.1652 6.1652 9.5907 71.25 71.25 60.00
Closest atoms and distances in Å follow each position.
Sites, in units of the cell vectors:
Ba  0.5000  0.5000  0.5000  12 S 3.48-3.56
U  0.0000  0.0000  0.0000  6 S 2.64
Cr  0.2494  0.2494  0.2518  4 S 2.08-2.16
Cr  0.7506  0.7506  0.7482  4 S 2.08-2.16
S  0.1717  0.1717  0.4849  1 Cr 2.08
S  0.6041  0.2814  0.1811  1 Cr 2.16
S  0.8283  0.8283  0.5151  1 Cr 2.08
S  0.9334  0.6041  0.1811  1 Cr 2.16
S  0.0666  0.3959  0.8189  1 Cr 2.16
S  0.2814  0.9334  0.1811  1 Cr 2.16
S  0.7186  0.0666  0.8189  1 Cr 2.16
S  0.3959  0.7186  0.8189  1 Cr 2.16


3.
Entry from the Alexandria database: a geometry-optimized BaUCrS4 structure (PBE).

Summary:
ΔE_f (raw)	-1.32	eV/atom
density of states at the Fermi level	0.839	states/eV/atom
space-group type	P2_1/m (11)

Lattice parameters (Å, degrees): 6.5135 6.3520 8.6038 90.00 108.06 90.00
Closest atoms and distances in Å follow each position.
Sites, in units of the cell vectors:
Ba  0.7442  0.7500  0.9408  8 S 3.05-3.40
Ba  0.2558  0.2500  0.0592  8 S 3.05-3.40
U  0.7734  0.7500  0.4472  6 S 2.74-2.82
U  0.2266  0.2500  0.5528  6 S 2.74-2.82
Cr  0.2321  0.7500  0.3290  4 S 2.24-2.30
Cr  0.7679  0.2500  0.6710  4 S 2.24-2.30
S  0.0195  0.5102  0.7166  1 Cr 2.27
S  0.9805  0.0102  0.2834  1 Cr 2.27
S  0.9805  0.4898  0.2834  1 Cr 2.27
S  0.0195  0.9898  0.7166  1 Cr 2.27
S  0.4354  0.7500  0.1537  1 Cr 2.30
S  0.5646  0.2500  0.8463  1 Cr 2.30
S  0.4491  0.7500  0.5878  1 Cr 2.24
S  0.5509  0.2500  0.4122  1 Cr 2.24


4.
Entry from the Alexandria database: a geometry-optimized BaU4Cr3S12 structure (PBE).

Summary:
ΔE_f (raw)	-1.10	eV/atom
density of states at the Fermi level	1.420	states/eV/atom
space-group type	Im-3 (204)

Lattice parameters (Å, degrees): 8.5405 8.5405 8.5405 109.47 109.47 109.47
Closest atoms and distances in Å follow each position.
Sites, in units of the cell vectors:
Ba  0.0000  0.0000  0.0000  12 S 3.50
U  0.5000  0.0000  0.0000  6 S 2.68
U  0.5000  0.5000  0.5000  6 S 2.68
U  0.0000  0.5000  0.0000  6 S 2.68
U  0.0000  0.0000  0.5000  6 S 2.68
Cr  0.0000  0.5000  0.5000  4 S 2.44
Cr  0.5000  0.5000  0.0000  4 S 2.44
Cr  0.5000  0.0000  0.5000  4 S 2.44
S  0.3147  0.8359  0.1506  1 Cr 2.44, 2 U 2.68
S  0.6853  0.1641  0.8494  1 Cr 2.44, 2 U 2.68
S  0.6853  0.8359  0.5213  1 Cr 2.44, 2 U 2.68
S  0.8494  0.6853  0.1641  1 Cr 2.44, 2 U 2.68
S  0.8359  0.1506  0.3147  1 Cr 2.44, 2 U 2.68
S  0.1641  0.4787  0.3147  1 Cr 2.44, 2 U 2.68
S  0.4787  0.3147  0.1641  1 Cr 2.44, 2 U 2.68
S  0.1641  0.8494  0.6853  1 Cr 2.44, 2 U 2.68
S  0.3147  0.1641  0.4787  1 Cr 2.44, 2 U 2.68
S  0.1506  0.3147  0.8359  1 Cr 2.44, 2 U 2.68
S  0.8359  0.5213  0.6853  1 Cr 2.44, 2 U 2.68
S  0.5213  0.6853  0.8359  1 Cr 2.44, 2 U 2.68


5.
Entry from the Alexandria database: a geometry-optimized Ba2UCrS6 structure (PBE).

Summary:
ΔE_f (raw)	-1.51	eV/atom
density of states at the Fermi level	0.281	states/eV/atom
space-group type	P2_1/c (14)

Lattice parameters (Å, degrees): 7.0839 6.9624 9.8608 90.00 90.22 90.00
Closest atoms and distances in Å follow each position.
Sites, in units of the cell vectors:
Ba  0.0028  0.0011  0.2478  7 S 3.20-3.51
Ba  0.5028  0.4989  0.7478  7 S 3.20-3.51
Ba  0.9972  0.9989  0.7522  7 S 3.20-3.51
Ba  0.4972  0.5011  0.2522  7 S 3.20-3.51
U  0.5000  0.0000  0.0000  6 S 2.59
U  0.0000  0.5000  0.5000  6 S 2.59
Cr  0.5000  0.0000  0.5000  6 S 2.40
Cr  0.0000  0.5000  0.0000  6 S 2.40
S  0.2393  0.7415  0.0264  1 Cr 2.40, 1 U 2.59
S  0.7393  0.7585  0.5264  1 Cr 2.40, 1 U 2.59
S  0.7607  0.2585  0.9736  1 Cr 2.40, 1 U 2.59
S  0.2607  0.2415  0.4736  1 Cr 2.40, 1 U 2.59
S  0.2589  0.7604  0.4736  1 Cr 2.40, 1 U 2.59
S  0.7589  0.7396  0.9736  1 Cr 2.40, 1 U 2.59
S  0.7411  0.2396  0.5264  1 Cr 2.40, 1 U 2.59
S  0.2411  0.2604  0.0264  1 Cr 2.40, 1 U 2.59
S  0.9492  0.5001  0.2400  1 Cr 2.40, 1 U 2.59
S  0.4492  0.9999  0.7400  1 Cr 2.40, 1 U 2.59
S  0.0508  0.4999  0.7600  1 Cr 2.40, 1 U 2.59
S  0.5508  0.0001  0.2600  1 Cr 2.40, 1 U 2.59


6.
Entry from the Alexandria database: a geometry-optimized Ba3U2CrS9 structure (PBE).

Summary:
ΔE_f (raw)	-1.57	eV/atom
density of states at the Fermi level	0.549	states/eV/atom
space-group type	P-3m1 (164)

Lattice parameters (Å, degrees): 7.1392 7.1392 8.7643 90.00 90.00 120.00
Closest atoms and distances in Å follow each position.
Sites, in units of the cell vectors:
Ba  0.3333  0.6667  0.6681  12 S 3.56-3.59
Ba  0.0000  0.0000  0.0000  12 S 3.57-3.58
Ba  0.6667  0.3333  0.3319  12 S 3.56-3.59
U  0.3333  0.6667  0.1866  6 S 2.56-2.63
U  0.6667  0.3333  0.8134  6 S 2.56-2.63
Cr  0.0000  0.0000  0.5000  6 S 2.39
S  0.8422  0.1578  0.6580  1 Cr 2.39, 1 U 2.56
S  0.8422  0.6843  0.6580  1 Cr 2.39, 1 U 2.56
S  0.3157  0.1578  0.6580  1 Cr 2.39, 1 U 2.56
S  0.6843  0.8422  0.3420  1 Cr 2.39, 1 U 2.56
S  0.1578  0.3157  0.3420  1 Cr 2.39, 1 U 2.56
S  0.1578  0.8422  0.3420  1 Cr 2.39, 1 U 2.56
S  0.5000  0.0000  0.0000  2 U 2.63
S  0.0000  0.5000  0.0000  2 U 2.63
S  0.5000  0.5000  0.0000  2 U 2.63


7.
Entry from the Alexandria database: a geometry-optimized BaU2CrS8 structure (PBE).

Summary:
ΔE_f (raw)	-1.08	eV/atom
density of states at the Fermi level	0.337	states/eV/atom
space-group type	P2/m (10)

Lattice parameters (Å, degrees): 6.3194 6.0433 8.2310 90.00 90.00 85.31
Closest atoms and distances in Å follow each position.
Sites, in units of the cell vectors:
Ba  0.0000  0.0000  0.5000  6 S 3.05-3.09
U  0.5000  0.5000  0.7602  6 S 2.52-2.64
U  0.5000  0.5000  0.2398  6 S 2.52-2.64
Cr  0.0000  0.0000  0.0000  4 S 2.36
S  0.1731  0.7615  0.1949  1 Cr 2.36, 1 U 2.52
S  0.6566  0.7195  0.0000  2 U 2.62, 1 Cr 2.86
S  0.8269  0.2386  0.1949  1 Cr 2.36, 1 U 2.52
S  0.8269  0.2385  0.8051  1 Cr 2.36, 1 U 2.52
S  0.3434  0.2805  0.0000  2 U 2.62, 1 Cr 2.86
S  0.1731  0.7614  0.8051  1 Cr 2.36, 1 U 2.52
S  0.6165  0.7143  0.5000  2 U 2.64
S  0.3835  0.2857  0.5000  2 U 2.64


8.
Entry from the Alexandria database: a geometry-optimized Ba4UCr2S9 structure (PBE).

Summary:
ΔE_f (raw)	-1.58	eV/atom
density of states at the Fermi level	0.520	states/eV/atom
space-group type	P321 (150)

Lattice parameters (Å, degrees): 9.6687 12.0638 12.0638 120.00 90.00 90.00
Closest atoms and distances in Å follow each position.
Sites, in units of the cell vectors:
Ba  0.2485  0.0435  0.3401  7 S 3.12-3.42
Ba  0.0000  0.0000  0.6827  8 S 3.22-3.53
Ba  0.0000  0.3173  0.3173  8 S 3.22-3.53
Ba  0.7515  0.7034  0.6599  7 S 3.12-3.42
Ba  0.2485  0.2966  0.9565  7 S 3.12-3.42
Ba  0.7515  0.3401  0.0435  7 S 3.12-3.42
Ba  0.5000  0.6259  0.0000  8 S 3.14-3.34
Ba  0.7515  0.9565  0.2966  7 S 3.12-3.42
Ba  0.0000  0.6827  0.0000  8 S 3.22-3.53
Ba  0.2485  0.6599  0.7034  7 S 3.12-3.42
Ba  0.5000  0.3741  0.3741  8 S 3.14-3.34
Ba  0.5000  0.0000  0.6259  8 S 3.14-3.34
U  0.2563  0.6667  0.3333  6 S 2.66-2.71
U  0.7437  0.3333  0.6667  6 S 2.66-2.71
U  0.5000  0.0000  0.0000  6 S 2.70
Cr  0.6012  0.6667  0.3333  6 S 2.46
Cr  0.3988  0.3333  0.6667  6 S 2.46
Cr  0.8411  0.0000  0.0000  6 S 2.41-2.45
Cr  0.9193  0.6667  0.3333  6 S 2.42-2.45
Cr  0.0807  0.3333  0.6667  6 S 2.42-2.45
Cr  0.1589  0.0000  0.0000  6 S 2.41-2.45
S  0.4486  0.4938  0.1807  1 Cr 2.46, 1 U 2.71
S  0.0679  0.6852  0.5029  1 Cr 2.42, 1 U 2.66
S  0.2390  0.3536  0.5189  2 Cr 2.45-2.46
S  0.5514  0.3131  0.8193  1 Cr 2.46, 1 U 2.71
S  0.0000  0.1536  0.0000  2 Cr 2.41
S  0.9321  0.3148  0.8177  1 Cr 2.42, 1 U 2.66
S  0.4486  0.6869  0.5062  1 Cr 2.46, 1 U 2.71
S  0.0000  0.8464  0.8464  2 Cr 2.41
S  0.0679  0.8177  0.3148  1 Cr 2.42, 1 U 2.66
S  0.9321  0.1823  0.4971  1 Cr 2.42, 1 U 2.66
S  0.4486  0.8193  0.3131  1 Cr 2.46, 1 U 2.71
S  0.7610  0.5189  0.3536  2 Cr 2.45-2.46
S  0.5514  0.5062  0.6869  1 Cr 2.46, 1 U 2.71
S  0.7610  0.8348  0.4811  2 Cr 2.45-2.46
S  0.3095  0.1698  0.1568  1 Cr 2.45, 1 U 2.70
S  0.9321  0.5029  0.6852  1 Cr 2.42, 1 U 2.66
S  0.0000  0.0000  0.1536  2 Cr 2.41
S  0.3095  0.9870  0.8302  1 Cr 2.45, 1 U 2.70
S  0.0679  0.4971  0.1823  1 Cr 2.42, 1 U 2.66
S  0.7610  0.6464  0.1652  2 Cr 2.45-2.46
S  0.6905  0.8302  0.9870  1 Cr 2.45, 1 U 2.70
S  0.6905  0.1568  0.1698  1 Cr 2.45, 1 U 2.70
S  0.3095  0.8432  0.0130  1 Cr 2.45, 1 U 2.70
S  0.2390  0.4811  0.8348  2 Cr 2.45-2.46
S  0.2390  0.1652  0.6464  2 Cr 2.45-2.46
S  0.6905  0.0130  0.8432  1 Cr 2.45, 1 U 2.70
S  0.5514  0.1807  0.4938  1 Cr 2.46, 1 U 2.71